5
Lattice="-0.760 5.078 -0.781 -5.138 -0.744 0.167 0.052 0.797 5.132" Properties=species:S:1:pos:R:3 comment="RbZrCu3 PBE relaxed" formation_enthalpy_0k_ev_per_fu=4.3 relative_energy_mev_per_atom=0.0 sg="No. 221" magmom_total_mub_per_cell=0.292 total_energy_ev_per_atom=-3.51 pbc="T T T"
Rb -2.923 2.566 2.259
Cu -2.569 -0.372 0.084
Cu -0.380 2.539 -0.390
Cu 0.026 0.398 2.566
Zr 0.000 0.000 0.000